Record 1
The following is a DFT calculation (PBE) of a relaxed Ba2Li5Cd4 crystal.

Output
* energy of formation from the pure elements: -0.204 eV/atom

Cell: 6.307 10.536 18.043 Å, 90.00 90.00 90.00°
Space group Fmmm (No. 69)
One atom of each set of equivalent atoms:
Ba  0.000  0.000  0.144
Li  0.000  0.000  0.500
Li  0.250  0.250  0.000
Li  0.250  0.250  0.250
Cd  0.000  0.159  0.372

---

Record 2
The following is a DFT calculation (PBE) of a relaxed MgCr2Tc crystal.

Output
* energy of formation from the pure elements: 0.780 eV/atom

Cell: 6.948 6.948 5.339 Å, 90.00 90.00 90.00°
Space group I-42d (No. 122)
One atom of each set of equivalent atoms:
Mg  0.000  0.000  0.000
Cr  0.204  0.250  0.625
Tc  0.000  0.000  0.500

---

Record 3
The following is a DFT calculation (PBE) of a relaxed CrPCl3 crystal.

Output
* calculated total energy: -3.9063 eV/atom

Cell: 4.894 4.894 4.894 Å, 90.00 90.00 90.00°
Space group Pm-3m (No. 221)
One atom of each set of equivalent atoms:
Cr  0.000  0.000  0.000
P  0.500  0.500  0.500
Cl  0.000  0.500  0.500

---

Record 4
The following is a DFT calculation (PBE) of a relaxed Al2Pd2O crystal.

Output
* calculated total energy: -4.9700 eV/atom

Cell: 6.535 6.535 3.385 Å, 90.00 90.00 90.00°
Space group P4/mbm (No. 127)
One atom of each set of equivalent atoms:
Al  0.152  0.348  0.000
Pd  0.151  0.651  0.500
O  0.000  0.000  0.500

---

Record 5
The following is a DFT calculation (PBE) of a relaxed SiTe crystal.

Output
* calculated total energy: -4.1896 eV/atom

Cell: 4.376 3.854 7.146 Å, 90.00 106.51 90.00°
Space group P2_1/m (No. 11)
One atom of each set of equivalent atoms:
Si  0.194  0.250  0.051
Te  0.393  0.250  0.742

---

Record 6
The following is a DFT calculation (PBE) of a relaxed Pr8CuPd2 crystal.

Output
* energy of formation from the pure elements: -0.166 eV/atom

Cell: 8.631 13.436 6.294 Å, 90.00 110.19 90.00°
Space group Cm (No. 8)
One atom of each set of equivalent atoms:
Pr  0.000  0.000  0.000
Pr  0.079  0.370  0.795
Pr  0.140  0.130  0.555
Pr  0.223  0.500  0.371
Pr  0.354  0.208  0.182
Cu  0.368  0.000  0.389
Pd  0.363  0.308  0.688

---

Number 1: M_tot 0.0 Bohr magnetons per cell. Number 2: M_tot 11.8 Bohr magnetons per cell. Number 3: M_tot 5.0 Bohr magnetons per cell. Number 4: M_tot 0.0 Bohr magnetons per cell. Number 5: M_tot 0.0 Bohr magnetons per cell. Number 6: M_tot 0.0 Bohr magnetons per cell.